RbTlAg | Alexandria | PBE | relaxed; final energy = -0.0743 hartree per atom; E_form = 0.1 eV per formula unit; symmetry = I4mm
1.0
4.039 0.000 0.000
0.000 4.039 0.000
-2.020 -2.020 6.365
Tl Rb Ag
1 1 1
direct
0.713 0.713 0.426
0.999 0.999 0.999
0.287 0.287 0.575

U2Ga2Pt7 | Alexandria | PBE | relaxed; final energy = -0.2560 hartree per atom; E_form = -5.7 eV per formula unit; symmetry = C2/m
1.0
-1.091 -4.773 -0.858
6.298 -0.920 -1.438
1.899 -1.272 6.112
Pt Ga U
7 2 2
direct
0.500 0.000 0.000
0.250 0.622 0.972
0.750 0.378 0.028
0.262 0.558 0.558
0.750 0.028 0.378
0.250 0.972 0.622
0.738 0.442 0.442
0.000 0.251 0.749
0.000 0.749 0.251
0.240 0.259 0.259
0.760 0.741 0.741

ScInTe2 | Alexandria | PBE | relaxed; final energy = -0.1644 hartree per atom; symmetry = P2/m
1.0
-0.714 -3.408 -1.315
2.771 -1.373 2.052
-2.354 -2.612 8.050
Te Sc In
2 1 1
direct
0.000 0.464 0.540
0.000 0.036 0.960
0.500 0.750 0.750
0.500 0.250 0.250

IrSN | Alexandria | PBE | relaxed; final energy = -0.2420 hartree per atom; symmetry = Pm
1.0
3.334 0.000 -0.001
0.000 3.565 0.000
-1.581 0.000 5.356
Ir N S
1 1 1
direct
0.445 0.500 0.684
0.017 0.500 0.836
0.322 0.000 0.426

YZr3Br | Alexandria | PBE | relaxed; final energy = -0.1964 hartree per atom; symmetry = Pm-3m
1.0
5.341 0.000 0.000
0.000 5.341 0.000
0.000 0.000 5.341
Zr Br Y
3 1 1
direct
0.500 0.000 0.000
0.000 0.500 0.000
0.000 0.000 0.500
0.500 0.500 0.500
0.000 0.000 0.000

Sr3LiRh | Alexandria | PBE | relaxed; final energy = -0.1080 hartree per atom; E_form = -0.4 eV per formula unit; symmetry = C2/m
1.0
20.069 0.000 -3.099
7.433 2.079 -5.605
-7.433 2.079 5.605
Sr Li Rh
6 2 2
direct
0.335 0.714 0.286
0.915 0.676 0.324
0.085 0.324 0.676
0.366 0.452 0.548
0.665 0.286 0.714
0.634 0.548 0.452
0.896 0.884 0.116
0.104 0.116 0.884
0.596 0.967 0.033
0.404 0.033 0.967

SmDyNiI | Alexandria | PBE | relaxed; final energy = -0.1774 hartree per atom; symmetry = R3m
1.0
4.048 0.000 0.000
-2.023 3.506 0.000
-2.024 -1.169 7.915
I Dy Sm Ni
1 1 1 1
direct
0.965 0.380 0.361
0.090 0.943 0.048
0.517 0.156 0.689
0.306 0.551 0.873

NiRhS3 | Alexandria | PBE | relaxed; final energy = -0.1615 hartree per atom; symmetry = Pm-3m
1.0
4.345 0.000 0.000
0.000 4.345 0.000
0.000 0.000 4.345
S Rh Ni
3 1 1
direct
0.000 0.000 0.500
0.500 0.000 0.000
0.000 0.500 0.000
0.500 0.500 0.500
0.000 0.000 0.000

Ce2NiB2Rh5 | Alexandria | PBE | relaxed; final energy = -0.2697 hartree per atom; E_form = -5.6 eV per formula unit; symmetry = P4/mbm
1.0
3.319 0.000 0.000
0.000 9.387 0.000
0.000 0.000 9.387
Ce B Rh Ni
4 4 10 2
direct
0.000 0.821 0.679
0.000 0.321 0.821
0.000 0.679 0.179
0.000 0.179 0.321
0.000 0.621 0.879
0.000 0.879 0.379
0.000 0.121 0.621
0.000 0.379 0.121
0.500 0.571 0.719
0.500 0.281 0.571
0.500 0.500 0.000
0.500 0.781 0.929
0.500 0.929 0.219
0.500 0.429 0.281
0.500 0.000 0.500
0.500 0.719 0.429
0.500 0.071 0.781
0.500 0.219 0.071
0.000 0.000 0.000
0.000 0.500 0.500

SrRuI2N | Alexandria | PBE | relaxed; final energy = -0.1757 hartree per atom; symmetry = P4/mmm
1.0
5.750 0.000 0.000
0.000 5.750 0.000
0.000 0.000 3.814
I Sr Ru N
2 1 1 1
direct
0.000 0.500 0.000
0.500 0.000 0.000
0.500 0.500 0.500
0.000 0.000 0.000
0.000 0.000 0.500

Ti3BiC | Alexandria | PBE | relaxed; final energy = -0.2861 hartree per atom; E_form = -2.1 eV per formula unit; symmetry = C2/m
1.0
4.183 0.000 0.000
-2.092 4.978 -1.093
0.000 -2.036 8.467
Bi Ti C
2 6 2
direct
0.606 0.212 0.409
0.394 0.788 0.591
0.134 0.267 0.694
0.866 0.733 0.306
0.885 0.769 0.832
0.352 0.704 0.053
0.648 0.296 0.947
0.115 0.231 0.168
0.883 0.765 0.071
0.117 0.235 0.929

BaCaTe4Pb2 | Alexandria | PBE | relaxed; final energy = -0.1473 hartree per atom; symmetry = Imma
1.0
9.432 0.009 -0.026
0.003 9.432 -0.026
-4.697 -4.701 6.701
Pb Te Ba Ca
4 8 2 2
direct
0.500 0.000 0.500
0.500 0.500 0.000
0.500 0.000 0.000
0.000 0.000 0.500
0.733 0.242 0.488
0.257 0.243 0.006
0.743 0.757 0.994
0.743 0.757 0.506
0.257 0.243 0.494
0.258 0.767 0.012
0.742 0.233 0.988
0.267 0.758 0.512
0.000 0.500 0.500
0.000 0.500 0.000
0.500 0.500 0.500
0.000 0.000 0.000

ZrAl4Cd2 | Alexandria | PBE | relaxed; final energy = -0.1104 hartree per atom; E_form = 4.3 eV per formula unit; symmetry = I4/mmm
1.0
-3.933 -3.199 1.276
-1.015 -0.775 -5.069
1.904 -7.389 -1.947
Al Zr Cd
4 1 2
direct
0.500 0.000 0.000
0.000 0.500 0.000
0.806 0.806 0.389
0.194 0.194 0.611
0.000 0.000 0.000
0.387 0.387 0.227
0.613 0.613 0.773

Sm2MgZr | Alexandria | PBE | relaxed; final energy = -0.1761 hartree per atom; E_form = 0.4 eV per formula unit; symmetry = P4/mmm
1.0
3.525 0.000 0.000
0.000 5.635 0.000
0.000 0.000 5.635
Zr Mg Sm
1 1 2
direct
0.500 0.500 0.500
0.500 0.000 0.000
0.000 0.000 0.500
0.000 0.500 0.000

CdRe2F | Alexandria | PBE | relaxed; final energy = -0.2410 hartree per atom; symmetry = I-42d
1.0
3.527 0.000 0.000
0.000 3.527 0.000
1.763 1.763 11.145
F Cd Re
2 2 4
direct
0.250 0.750 0.500
0.500 0.500 0.000
0.750 0.250 0.500
0.000 0.000 0.000
0.111 0.125 0.250
0.639 0.625 0.250
0.875 0.361 0.750
0.375 0.889 0.750

NaZn4Ir | Alexandria | PBE | relaxed; final energy = -0.0922 hartree per atom; E_form = 0.2 eV per formula unit; symmetry = F-43m
1.0
-1.432 3.620 -3.227
-1.046 -1.168 -4.808
-4.774 0.163 -1.661
Na Zn Ir
1 4 1
direct
0.000 0.000 0.000
0.624 0.127 0.624
0.624 0.624 0.624
0.127 0.624 0.624
0.624 0.624 0.127
0.250 0.250 0.250